Entry 1:
Crystalline Ni2C at its relaxed geometry. Source: Alexandria, functional GGA-PBEsol.

Calculated values
final energy	-7.06	eV/atom
size of the total moment	0.000	μB per atom

Lattice parameters (Å, degrees): 2.840 2.840 3.939 90.00 90.00 120.00
Fractional positions:
C  0.000  0.000  0.000
Ni  0.333  0.667  0.245
Ni  0.667  0.333  0.755

=====

Entry 2:
Crystalline Ni2C at its relaxed geometry. Source: Alexandria, functional GGA-PBEsol.

Calculated values
final energy	-7.01	eV/atom
size of the total moment	0.000	μB per atom

Lattice parameters (Å, degrees): 2.896 2.896 4.176 110.35 110.35 59.91
Fractional positions:
Ni  0.752  0.752  0.757
Ni  0.248  0.248  0.243
C  0.500  0.500  0.000

=====

no.,D(E_F) (states/eV per atom),relative energy among the computed polymorphs (meV/atom)
1,0.30,142
2,0.63,183